## K2LaZr (GGA-PBEsol)

Data for crystalline K2LaZr at its relaxed geometry.

Cell and atoms, written as POSCAR:
```
K2LaZr
1.0
4.633 0.000 0.000
0.000 4.633 0.000
0.000 0.000 6.944
K La Zr
2 1 1
direct
0.000 0.500 0.000
0.500 0.000 0.000
0.000 0.000 0.500
0.500 0.500 0.500
```

Magnetic moment in μB per formula unit: 0.5
Raw total energy in eV per atom: -3.319
ΔE_f in meV/atom: 857
Space-group type: P4/mmm, No. 123
DOS(E_F) in states/eV per atom: 1.473
Distance to the lowest polymorph of the same formula in meV/atom: 98.2

## K5Li (GGA-PBEsol)

Data for crystalline K5Li at its relaxed geometry.

Cell and atoms, written as POSCAR:
```
K5Li
1.0
6.577 0.000 0.000
0.000 17.091 0.000
0.000 0.000 6.519
K Li
10 2
direct
0.000 0.000 0.000
0.000 0.155 0.500
0.000 0.345 0.000
0.000 0.655 0.000
0.000 0.845 0.500
0.500 0.155 0.000
0.500 0.345 0.500
0.500 0.500 0.000
0.500 0.655 0.500
0.500 0.845 0.000
0.000 0.500 0.500
0.500 0.000 0.500
```

Magnetic moment in μB per formula unit: 0.0
Raw total energy in eV per atom: -1.203
ΔE_f in meV/atom: 69
Space-group type: Cmmm, No. 65
DOS(E_F) in states/eV per atom: 0.701
Distance to the lowest polymorph of the same formula in meV/atom: 14.0